Record 1
Sr2TcO4 GGA-PBE relaxed; formation energy without anion corrections = -47.11 kcal/mol of atoms; electronic total energy = -95.7 eV for the cell shown; M_tot = 2.08 μB/cell; energy above the lowest structure with this stoichiometry = 215.1 meV per atom
1.0
-1.523 6.034 -0.537
-5.560 -1.467 -0.725
-0.432 -1.662 6.679
Sr Tc O
4 2 8
Direct
0.682 0.750 0.034
0.318 0.250 0.966
0.246 0.250 0.440
0.754 0.750 0.560
0.219 0.750 0.194
0.781 0.250 0.806
0.474 0.530 0.251
0.061 0.750 0.923
0.939 0.250 0.077
0.474 0.970 0.251
0.963 0.250 0.640
0.526 0.030 0.749
0.526 0.470 0.749
0.037 0.750 0.360

Record 2
Sr3Tc5O12 GGA-PBE relaxed; formation energy without anion corrections = -38.11 kcal/mol of atoms; electronic total energy = -597.7 eV for the cell shown; M_tot = 7.62 μB/cell
1.0
-7.987 8.057 0.252
2.820 -2.864 10.612
9.164 3.927 -5.420
Sr Tc O
12 20 48
Direct
0.750 0.375 0.125
0.875 0.750 0.125
0.375 0.750 0.625
0.250 0.125 0.375
0.875 0.125 0.250
0.375 0.625 0.250
0.625 0.375 0.750
0.125 0.875 0.750
0.750 0.875 0.625
0.625 0.250 0.375
0.125 0.250 0.875
0.250 0.625 0.875
0.125 0.375 0.250
0.000 0.500 0.000
0.000 0.000 0.000
0.375 0.250 0.125
0.500 0.000 0.500
0.500 0.500 0.000
0.125 0.750 0.375
0.750 0.125 0.875
0.750 0.625 0.375
0.375 0.125 0.750
0.625 0.875 0.250
0.500 0.500 0.500
0.500 0.000 0.000
0.000 0.000 0.500
0.250 0.375 0.625
0.250 0.875 0.125
0.000 0.500 0.500
0.875 0.250 0.625
0.625 0.750 0.875
0.875 0.625 0.750
0.692 0.115 0.014
0.322 0.514 0.398
0.986 0.385 0.308
0.514 0.192 0.115
0.576 0.692 0.678
0.986 0.602 0.178
0.322 0.808 0.424
0.102 0.924 0.115
0.602 0.986 0.678
0.692 0.576 0.178
0.808 0.486 0.385
0.822 0.898 0.014
0.115 0.692 0.514
0.385 0.398 0.076
0.076 0.898 0.385
0.424 0.115 0.602
0.076 0.178 0.192
0.486 0.678 0.102
0.822 0.924 0.308
0.115 0.424 0.102
0.385 0.986 0.808
0.602 0.615 0.424
0.898 0.822 0.514
0.808 0.322 0.924
0.398 0.385 0.576
0.102 0.178 0.486
0.192 0.678 0.076
0.178 0.076 0.692
0.615 0.014 0.192
0.885 0.576 0.898
0.514 0.322 0.898
0.576 0.885 0.398
0.924 0.822 0.808
0.924 0.102 0.615
0.885 0.308 0.486
0.178 0.102 0.986
0.615 0.602 0.924
0.398 0.014 0.322
0.308 0.424 0.822
0.192 0.514 0.615
0.898 0.076 0.885
0.678 0.192 0.576
0.486 0.808 0.885
0.014 0.398 0.822
0.424 0.308 0.322
0.014 0.615 0.692
0.678 0.486 0.602
0.308 0.885 0.986

Record 3
SrTcO4 GGA-PBE relaxed; formation energy without anion corrections = -47.03 kcal/mol of atoms; electronic total energy = -88.2 eV for the cell shown; M_tot = 2.03 μB/cell
1.0
5.470 0.000 0.000
0.000 5.470 0.000
-2.735 -2.735 6.119
Sr Tc O
2 2 8
Direct
0.000 0.000 0.000
0.750 0.250 0.500
0.500 0.500 0.000
0.250 0.750 0.500
0.038 0.918 0.346
0.178 0.288 0.846
0.668 0.558 0.846
0.308 0.428 0.346
0.442 0.822 0.154
0.082 0.692 0.654
0.572 0.962 0.654
0.712 0.332 0.154

Record 4
SrTcO6 GGA-PBE relaxed; formation energy without anion corrections = -23.53 kcal/mol of atoms; electronic total energy = -50.0 eV for the cell shown; M_tot = 3.00 μB/cell
1.0
6.214 0.000 0.000
3.107 5.381 0.000
3.107 1.794 5.073
Sr Tc O
1 1 6
Direct
0.500 0.500 0.500
0.000 0.000 0.000
0.788 0.788 0.212
0.788 0.212 0.212
0.212 0.788 0.788
0.212 0.212 0.788
0.212 0.788 0.212
0.788 0.212 0.788

Record 5
SrTcO5 GGA-PBE relaxed; formation energy without anion corrections = -34.75 kcal/mol of atoms; electronic total energy = -94.8 eV for the cell shown; M_tot = 2.03 μB/cell; energy above the lowest structure with this stoichiometry = 108.9 meV per atom
1.0
-2.965 -2.594 4.296
3.824 -2.315 3.740
0.336 4.403 6.311
Sr Tc O
2 2 10
Direct
0.558 0.442 0.250
0.442 0.558 0.750
0.000 0.000 0.000
0.000 0.000 0.500
0.803 0.774 0.107
0.257 0.722 0.459
0.774 0.803 0.607
0.937 0.063 0.250
0.278 0.743 0.041
0.722 0.257 0.959
0.063 0.937 0.750
0.226 0.197 0.393
0.743 0.278 0.541
0.197 0.226 0.893

Record 6
SrTc2O4 GGA-PBE relaxed; formation energy without anion corrections = -28.54 kcal/mol of atoms; electronic total energy = -50.9 eV for the cell shown; M_tot = 0.00 μB/cell
1.0
4.777 0.000 1.735
2.389 4.705 0.868
0.782 0.000 5.289
Sr Tc O
1 2 4
Direct
0.500 0.000 0.000
0.250 0.500 0.500
0.750 0.500 0.500
0.667 0.491 0.175
0.158 0.175 0.509
0.842 0.825 0.491
0.333 0.509 0.825

Record 7
Sr2TcO2 GGA-PBE relaxed; formation energy without anion corrections = -32.06 kcal/mol of atoms; electronic total energy = -30.6 eV for the cell shown; M_tot = 1.00 μB/cell; energy above the lowest structure with this stoichiometry = 0.0 meV per atom
1.0
-3.385 0.369 3.919
-3.911 -0.899 -3.294
-3.278 -4.514 1.032
Sr Tc O
2 1 2
Direct
0.750 0.250 0.500
0.250 0.750 0.500
0.000 0.000 0.000
0.220 0.220 0.560
0.780 0.780 0.440

Record 8
Sr3Tc2O7 GGA-PBE relaxed; formation energy without anion corrections = -50.09 kcal/mol of atoms; electronic total energy = -86.6 eV for the cell shown; M_tot = 3.04 μB/cell
1.0
3.968 0.000 0.000
0.000 3.968 0.000
-1.984 -1.984 10.388
Sr Tc O
3 2 7
Direct
0.314 0.314 0.629
0.686 0.686 0.371
0.500 0.500 0.000
0.098 0.098 0.195
0.902 0.902 0.805
0.000 0.000 0.000
0.903 0.403 0.806
0.403 0.903 0.806
0.097 0.597 0.194
0.597 0.097 0.194
0.196 0.196 0.393
0.804 0.804 0.607

Record 9
Sr2TcO2 GGA-PBE relaxed; formation energy without anion corrections = -25.40 kcal/mol of atoms; electronic total energy = -58.3 eV for the cell shown; M_tot = 0.00 μB/cell; energy above the lowest structure with this stoichiometry = 289.1 meV per atom
1.0
6.747 0.000 0.000
0.000 6.747 0.000
0.000 0.000 3.481
Sr Tc O
4 2 4
Direct
0.155 0.655 0.500
0.655 0.845 0.500
0.845 0.345 0.500
0.345 0.155 0.500
0.000 0.000 0.000
0.500 0.500 0.000
0.337 0.837 0.000
0.837 0.663 0.000
0.663 0.163 0.000
0.163 0.337 0.000

Look up the electronic total energy of the fifth one.
-94.8 eV for the cell shown